Computed, not measured: a relaxed structure of CrSnP2S at the GGA-PBE level of DFT.

E_form (uncorrected): 1.1080 eV/atom

Cell and atoms, written as CIF:
```
data_CrSnP2S
_space_group_name_H-M_alt 'P 4/m m m'
_space_group_IT_number 123
_space_group_name_Hall '-P 4 2'
_cell_length_a 5.011
_cell_length_b 5.011
_cell_length_c 4.994
_cell_angle_alpha 90.00
_cell_angle_beta 90.00
_cell_angle_gamma 90.00
loop_
_atom_site_label
_atom_site_fract_x
_atom_site_fract_y
_atom_site_fract_z
_atom_site_occupancy
Cr1 0.000 0.000 0.000 1
Sn1 0.500 0.500 0.500 1
P1 0.000 0.500 0.500 1
S1 0.500 0.500 0.000 1
```